Entry 1:
The following is a GGA-PBE calculation of ReSBrCl2 after structural relaxation, from Alexandria via LeMat-Bulk.

Calculated values
The value obtained for the distance to the lowest polymorph of the same formula is 0.000 eV per atom. As for the raw formation energy: 17 kJ/mol of atoms. Its crystal system is tetragonal. The density of states at the Fermi level comes out at 0.9827 states/eV per atom. The total DFT energy (no corrections) is -4.2126 eV per atom.

Geometry as CIF:
```
data_ReSBrCl2
_symmetry_space_group_name_H-M 'P 1'
_symmetry_Int_Tables_number 1
_symmetry_space_group_name_Hall 'P 1'
_cell_length_a 4.8096
_cell_length_b 4.8096
_cell_length_c 4.5849
_cell_angle_alpha 90.00
_cell_angle_beta 90.00
_cell_angle_gamma 90.00
loop_
_atom_site_label
_atom_site_type_symbol
_atom_site_fract_x
_atom_site_fract_y
_atom_site_fract_z
_atom_site_occupancy
Re1 Re 0.0000 0.0000 0.0000 1
Cl1 Cl 0.5000 0.0000 0.0000 1
Cl2 Cl 0.0000 0.5000 0.0000 1
S1 S 0.0000 0.0000 0.5000 1
Br1 Br 0.5000 0.5000 0.5000 1
```



Entry 2:
The following is a GGA-PBE calculation of Pr3OsBr2 after structural relaxation, from Alexandria via LeMat-Bulk.

Calculated values
As for the raw formation energy: -82 kJ/mol of atoms. Its crystal system is orthorhombic. The density of states at the Fermi level comes out at 0.8238 states/eV per atom. The total DFT energy (no corrections) is -5.6709 eV per atom.

Geometry as CIF:
```
data_Pr3OsBr2
_symmetry_space_group_name_H-M 'P 1'
_symmetry_Int_Tables_number 1
_symmetry_space_group_name_Hall 'P 1'
_cell_length_a 4.0998
_cell_length_b 5.9990
_cell_length_c 8.2499
_cell_angle_alpha 111.32
_cell_angle_beta 104.39
_cell_angle_gamma 90.00
loop_
_atom_site_label
_atom_site_type_symbol
_atom_site_fract_x
_atom_site_fract_y
_atom_site_fract_z
_atom_site_occupancy
Br1 Br 0.6823 0.1823 0.3647 1
Pr1 Pr 0.6273 0.6273 0.2545 1
Pr2 Pr 0.3727 0.3727 0.7455 1
Br2 Br 0.3177 0.8177 0.6353 1
Pr3 Pr 0.0000 0.0000 0.0000 1
Os1 Os 0.0000 0.5000 0.0000 1
```



Entry 3:
The following is a GGA-PBE calculation of LaSmDyZn after structural relaxation, from Alexandria via LeMat-Bulk.

Calculated values
The value obtained for the distance to the lowest polymorph of the same formula is 0.000 eV per atom. Its formation energy is -0.15 eV/atom. Its crystal system is tetragonal. The density of states at the Fermi level comes out at 1.4423 states/eV per atom. The total DFT energy (no corrections) is -4.0314 eV per atom.

Geometry as CIF:
```
data_LaSmDyZn
_symmetry_space_group_name_H-M 'P 1'
_symmetry_Int_Tables_number 1
_symmetry_space_group_name_Hall 'P 1'
_cell_length_a 3.6378
_cell_length_b 3.6378
_cell_length_c 8.8128
_cell_angle_alpha 90.00
_cell_angle_beta 90.00
_cell_angle_gamma 90.00
loop_
_atom_site_label
_atom_site_type_symbol
_atom_site_fract_x
_atom_site_fract_y
_atom_site_fract_z
_atom_site_occupancy
Sm1 Sm 0.5000 0.5000 0.7729 1
Zn1 Zn 0.0000 0.0000 0.5634 1
La1 La 0.0000 0.0000 0.0766 1
Dy1 Dy 0.5000 0.5000 0.3718 1
```



Entry 4:
The following is a GGA-PBE calculation of CdAg2BRu after structural relaxation, from Alexandria via LeMat-Bulk.

Calculated values
Its formation energy is 0.96 eV/atom. Its crystal system is tetragonal. The density of states at the Fermi level comes out at 0.5833 states/eV per atom. The total DFT energy (no corrections) is -3.5561 eV per atom.

Geometry as CIF:
```
data_CdAg2BRu
_symmetry_space_group_name_H-M 'P 1'
_symmetry_Int_Tables_number 1
_symmetry_space_group_name_Hall 'P 1'
_cell_length_a 5.2047
_cell_length_b 3.8570
_cell_length_c 5.2047
_cell_angle_alpha 90.00
_cell_angle_beta 90.00
_cell_angle_gamma 90.00
loop_
_atom_site_label
_atom_site_type_symbol
_atom_site_fract_x
_atom_site_fract_y
_atom_site_fract_z
_atom_site_occupancy
Ag1 Ag 0.0000 0.0000 0.5000 1
Ru1 Ru 0.0000 0.0000 0.0000 1
Ag2 Ag 0.5000 0.0000 0.0000 1
B1 B 0.0000 0.5000 0.0000 1
Cd1 Cd 0.5000 0.5000 0.5000 1
```



Entry 5:
The following is a GGA-PBE calculation of BiAsPb3 after structural relaxation, from Alexandria via LeMat-Bulk.

Calculated values
The value obtained for the distance to the lowest polymorph of the same formula is 0.774 eV per atom. Its formation energy is 0.83 eV/atom. Its crystal system is cubic. The density of states at the Fermi level comes out at 0.4825 states/eV per atom. The total DFT energy (no corrections) is -3.0979 eV per atom.

Geometry as CIF:
```
data_BiAsPb3
_symmetry_space_group_name_H-M 'P 1'
_symmetry_Int_Tables_number 1
_symmetry_space_group_name_Hall 'P 1'
_cell_length_a 5.9707
_cell_length_b 5.9707
_cell_length_c 5.9707
_cell_angle_alpha 90.00
_cell_angle_beta 90.00
_cell_angle_gamma 90.00
loop_
_atom_site_label
_atom_site_type_symbol
_atom_site_fract_x
_atom_site_fract_y
_atom_site_fract_z
_atom_site_occupancy
Bi1 Bi 0.0000 0.0000 0.0000 1
Pb1 Pb 0.0000 0.0000 0.5000 1
As1 As 0.5000 0.5000 0.5000 1
Pb2 Pb 0.5000 0.0000 0.0000 1
Pb3 Pb 0.0000 0.5000 0.0000 1
```



Entry 6:
The following is a GGA-PBE calculation of ScAlTe4 after structural relaxation, from Alexandria via LeMat-Bulk.

Calculated values
The value obtained for the distance to the lowest polymorph of the same formula is 0.000 eV per atom. As for the raw formation energy: -45 kJ/mol of atoms. Its crystal system is orthorhombic. The density of states at the Fermi level comes out at 0.6843 states/eV per atom. The total DFT energy (no corrections) is -4.2380 eV per atom.

Geometry as CIF:
```
data_ScAlTe4
_symmetry_space_group_name_H-M 'P 1'
_symmetry_Int_Tables_number 1
_symmetry_space_group_name_Hall 'P 1'
_cell_length_a 6.9264
_cell_length_b 7.2812
_cell_length_c 7.6471
_cell_angle_alpha 90.00
_cell_angle_beta 90.00
_cell_angle_gamma 90.00
loop_
_atom_site_label
_atom_site_type_symbol
_atom_site_fract_x
_atom_site_fract_y
_atom_site_fract_z
_atom_site_occupancy
Te1 Te 0.7976 0.8247 0.2379 1
Te2 Te 0.2976 0.1753 0.7379 1
Te3 Te 0.8553 0.3362 0.0000 1
Al1 Al 0.9771 0.6663 0.5000 1
Te4 Te 0.8659 0.3136 0.5000 1
Sc1 Sc 0.5785 0.0185 0.5000 1
Al2 Al 0.4771 0.3337 0.0000 1
Te5 Te 0.3659 0.6864 0.0000 1
Sc2 Sc 0.0785 0.9815 0.0000 1
Te6 Te 0.3553 0.6638 0.5000 1
Te7 Te 0.7976 0.8247 0.7621 1
Te8 Te 0.2976 0.1753 0.2621 1
```



Entry 7:
The following is a GGA-PBE calculation of KBeF3 after structural relaxation, from Alexandria via LeMat-Bulk.

Calculated values
As for the raw formation energy: -65 kJ/mol of atoms. Its crystal system is cubic. The density of states at the Fermi level comes out at 0.3809 states/eV per atom. The total DFT energy (no corrections) is -2.7608 eV per atom.

Geometry as CIF:
```
data_KBeF3
_symmetry_space_group_name_H-M 'P 1'
_symmetry_Int_Tables_number 1
_symmetry_space_group_name_Hall 'P 1'
_cell_length_a 4.6422
_cell_length_b 4.6422
_cell_length_c 4.6422
_cell_angle_alpha 90.00
_cell_angle_beta 90.00
_cell_angle_gamma 90.00
loop_
_atom_site_label
_atom_site_type_symbol
_atom_site_fract_x
_atom_site_fract_y
_atom_site_fract_z
_atom_site_occupancy
F1 F 0.0000 0.0000 0.5000 1
Be1 Be 0.5000 0.5000 0.5000 1
F2 F 0.0000 0.5000 0.0000 1
F3 F 0.5000 0.0000 0.0000 1
K1 K 0.0000 0.0000 0.0000 1
```



Entry 8:
The following is a GGA-PBE calculation of La3Zr after structural relaxation, from Alexandria via LeMat-Bulk.

Calculated values
Its formation energy is 0.79 eV/atom. Its crystal system is cubic. The density of states at the Fermi level comes out at 0.8081 states/eV per atom. The total DFT energy (no corrections) is -5.0458 eV per atom.

Geometry as CIF:
```
data_La3Zr
_symmetry_space_group_name_H-M 'P 1'
_symmetry_Int_Tables_number 1
_symmetry_space_group_name_Hall 'P 1'
_cell_length_a 5.8616
_cell_length_b 5.8616
_cell_length_c 5.8616
_cell_angle_alpha 90.00
_cell_angle_beta 90.00
_cell_angle_gamma 90.00
loop_
_atom_site_label
_atom_site_type_symbol
_atom_site_fract_x
_atom_site_fract_y
_atom_site_fract_z
_atom_site_occupancy
La1 La 0.0000 0.0000 0.5000 1
La2 La 0.0000 0.5000 0.0000 1
La3 La 0.5000 0.0000 0.0000 1
Zr1 Zr 0.0000 0.0000 0.0000 1
```



Entry 9:
The following is a GGA-PBE calculation of Cs3Cu2IBr8 after structural relaxation, from Alexandria via LeMat-Bulk.

Calculated values
As for the raw formation energy: -83 kJ/mol of atoms. Its crystal system is trigonal. The density of states at the Fermi level comes out at 0.4980 states/eV per atom. The total DFT energy (no corrections) is -2.6995 eV per atom.

Geometry as CIF:
```
data_Cs3Cu2IBr8
_symmetry_space_group_name_H-M 'P 1'
_symmetry_Int_Tables_number 1
_symmetry_space_group_name_Hall 'P 1'
_cell_length_a 7.9354
_cell_length_b 7.9354
_cell_length_c 10.2787
_cell_angle_alpha 90.00
_cell_angle_beta 90.00
_cell_angle_gamma 120.00
loop_
_atom_site_label
_atom_site_type_symbol
_atom_site_fract_x
_atom_site_fract_y
_atom_site_fract_z
_atom_site_occupancy
Br1 Br 0.3620 0.1810 0.6845 1
Br2 Br 0.3333 0.6667 0.9683 1
Cu1 Cu 0.3333 0.6667 0.1929 1
Br3 Br 0.6667 0.3333 0.0317 1
Br4 Br 0.1810 0.8190 0.3155 1
Br5 Br 0.8190 0.6380 0.6845 1
Br6 Br 0.6380 0.8190 0.3155 1
I1 I 0.0000 0.0000 0.5000 1
Cs1 Cs 0.3333 0.6667 0.6249 1
Br7 Br 0.8190 0.1810 0.6845 1
Br8 Br 0.1810 0.3620 0.3155 1
Cs2 Cs 0.6667 0.3333 0.3751 1
Cs3 Cs 0.0000 0.0000 0.0000 1
Cu2 Cu 0.6667 0.3333 0.8071 1
```



Entry 10:
The following is a GGA-PBE calculation of SiIr2Pb after structural relaxation, from Alexandria via LeMat-Bulk.

Calculated values
The value obtained for the distance to the lowest polymorph of the same formula is 0.343 eV per atom. As for the raw formation energy: 22 kJ/mol of atoms. Its crystal system is tetragonal. The density of states at the Fermi level comes out at 0.5251 states/eV per atom. The total DFT energy (no corrections) is -6.4899 eV per atom.

Geometry as CIF:
```
data_SiIr2Pb
_symmetry_space_group_name_H-M 'P 1'
_symmetry_Int_Tables_number 1
_symmetry_space_group_name_Hall 'P 1'
_cell_length_a 2.9856
_cell_length_b 2.9856
_cell_length_c 8.0305
_cell_angle_alpha 90.00
_cell_angle_beta 90.00
_cell_angle_gamma 90.00
loop_
_atom_site_label
_atom_site_type_symbol
_atom_site_fract_x
_atom_site_fract_y
_atom_site_fract_z
_atom_site_occupancy
Si1 Si 0.5000 0.5000 0.8180 1
Ir1 Ir 0.5000 0.5000 0.2220 1
Pb1 Pb 0.0000 0.0000 0.4768 1
Ir2 Ir 0.0000 0.0000 0.9832 1
```